# PBE LiThBiS, relaxed
data_LiThBiS
_cell_length_a 4.491
_cell_length_b 4.491
_cell_length_c 9.908
_cell_angle_alpha 90.00
_cell_angle_beta 90.00
_cell_angle_gamma 90.00
_space_group_name_H-M_alt 'P 1'
_space_group_IT_number 1
loop_
_space_group_symop_operation_xyz
'x,y,z'
loop_
_atom_site_label
_atom_site_type_symbol
_atom_site_fract_x
_atom_site_fract_y
_atom_site_fract_z
Li1 Li 0.250 0.750 0.000
Li2 Li 0.750 0.250 0.000
Th1 Th 0.250 0.250 0.328
Th2 Th 0.750 0.750 0.672
Bi1 Bi 0.250 0.250 0.816
Bi2 Bi 0.750 0.750 0.184
S1 S 0.250 0.750 0.500
S2 S 0.750 0.250 0.500
# **Total moment**: 0.00 μB/f.u.
# **E_form (uncorrected)**: -1110.6 meV/atom
# **Electronic total energy**: -5.45 eV/atom
# **Symmetry**: P4/nmm

# PBE Hf2CrNi, relaxed
data_Hf2CrNi
_cell_length_a 9.421
_cell_length_b 9.421
_cell_length_c 9.421
_cell_angle_alpha 154.88
_cell_angle_beta 154.88
_cell_angle_gamma 35.82
_space_group_name_H-M_alt 'P 1'
_space_group_IT_number 1
loop_
_space_group_symop_operation_xyz
'x,y,z'
loop_
_atom_site_label
_atom_site_type_symbol
_atom_site_fract_x
_atom_site_fract_y
_atom_site_fract_z
Hf1 Hf 0.121 0.625 0.996
Hf2 Hf 0.375 0.371 0.496
Hf3 Hf 0.629 0.125 0.004
Hf4 Hf 0.875 0.879 0.504
Cr1 Cr 0.250 0.750 0.500
Cr2 Cr 0.500 0.500 0.000
Ni1 Ni 0.000 0.000 0.000
Ni2 Ni 0.750 0.250 0.500
# **Total moment**: 2.89 μB/f.u.
# **DFT formation energy**: 0.6205 eV/atom
# **ΔE to the lowest computed polymorph**: 807 meV/atom
# **Electronic total energy**: -8.21 eV/atom
# **Symmetry**: I-42d

# PBE Tb6PmTh, relaxed
data_Tb6PmTh
_cell_length_a 5.054
_cell_length_b 5.054
_cell_length_c 10.088
_cell_angle_alpha 90.00
_cell_angle_beta 90.00
_cell_angle_gamma 90.00
_space_group_name_H-M_alt 'P 1'
_space_group_IT_number 1
loop_
_space_group_symop_operation_xyz
'x,y,z'
loop_
_atom_site_label
_atom_site_type_symbol
_atom_site_fract_x
_atom_site_fract_y
_atom_site_fract_z
Tb1 Tb 0.000 0.000 0.000
Tb2 Tb 0.000 0.000 0.500
Tb3 Tb 0.000 0.500 0.246
Tb4 Tb 0.000 0.500 0.754
Tb5 Tb 0.500 0.000 0.246
Tb6 Tb 0.500 0.000 0.754
Pm1 Pm 0.500 0.500 0.500
Th1 Th 0.500 0.500 0.000
# **Total moment**: 0.00 μB/f.u.
# **DFT formation energy**: 0.0257 eV/atom
# **ΔE to the lowest computed polymorph**: 0 meV/atom
# **Electronic total energy**: -4.97 eV/atom
# **Symmetry**: P4/mmm

# PBE DyBe2Rh2, relaxed
data_DyBe2Rh2
_cell_length_a 4.053
_cell_length_b 4.053
_cell_length_c 8.928
_cell_angle_alpha 90.00
_cell_angle_beta 90.00
_cell_angle_gamma 90.00
_space_group_name_H-M_alt 'P 1'
_space_group_IT_number 1
loop_
_space_group_symop_operation_xyz
'x,y,z'
loop_
_atom_site_label
_atom_site_type_symbol
_atom_site_fract_x
_atom_site_fract_y
_atom_site_fract_z
Dy1 Dy 0.250 0.250 0.245
Dy2 Dy 0.750 0.750 0.755
Be1 Be 0.250 0.250 0.880
Be2 Be 0.250 0.750 0.500
Be3 Be 0.750 0.250 0.500
Be4 Be 0.750 0.750 0.120
Rh1 Rh 0.250 0.250 0.618
Rh2 Rh 0.250 0.750 0.000
Rh3 Rh 0.750 0.250 0.000
Rh4 Rh 0.750 0.750 0.382
# **Total moment**: 0.00 μB/f.u.
# **DFT formation energy**: -0.6711 eV/atom
# **Electronic total energy**: -6.02 eV/atom
# **Symmetry**: P4/nmm

# PBE Ba5Sr3Rh2, relaxed
data_Ba5Sr3Rh2
_cell_length_a 11.696
_cell_length_b 11.696
_cell_length_c 11.696
_cell_angle_alpha 115.82
_cell_angle_beta 81.49
_cell_angle_gamma 135.44
_space_group_name_H-M_alt 'P 1'
_space_group_IT_number 1
loop_
_space_group_symop_operation_xyz
'x,y,z'
loop_
_atom_site_label
_atom_site_type_symbol
_atom_site_fract_x
_atom_site_fract_y
_atom_site_fract_z
Ba1 Ba 0.007 0.750 0.257
Ba2 Ba 0.123 0.738 0.861
Ba3 Ba 0.250 0.250 0.000
Ba4 Ba 0.377 0.238 0.614
Ba5 Ba 0.493 0.750 0.743
Ba6 Ba 0.507 0.250 0.257
Ba7 Ba 0.623 0.762 0.386
Ba8 Ba 0.750 0.750 0.000
Ba9 Ba 0.877 0.262 0.139
Ba10 Ba 0.993 0.250 0.743
Sr1 Sr 0.123 0.264 0.387
Sr2 Sr 0.250 0.750 0.500
Sr3 Sr 0.377 0.764 0.141
Sr4 Sr 0.623 0.236 0.859
Sr5 Sr 0.750 0.250 0.500
Sr6 Sr 0.877 0.736 0.613
Rh1 Rh 0.126 0.502 0.628
Rh2 Rh 0.374 0.002 0.376
Rh3 Rh 0.626 0.998 0.624
Rh4 Rh 0.874 0.498 0.372
# **Total moment**: 0.00 μB/f.u.
# **DFT formation energy**: -0.1279 eV/atom
# **Electronic total energy**: -3.06 eV/atom
# **Symmetry**: Ibam

# PBE Pr6Ir2PbI3, relaxed
data_Pr6Ir2PbI3
_cell_length_a 10.483
_cell_length_b 10.483
_cell_length_c 9.593
_cell_angle_alpha 108.44
_cell_angle_beta 108.44
_cell_angle_gamma 23.99
_space_group_name_H-M_alt 'P 1'
_space_group_IT_number 1
loop_
_space_group_symop_operation_xyz
'x,y,z'
loop_
_atom_site_label
_atom_site_type_symbol
_atom_site_fract_x
_atom_site_fract_y
_atom_site_fract_z
Pr1 Pr 0.028 0.028 0.252
Pr2 Pr 0.317 0.317 0.445
Pr3 Pr 0.335 0.335 0.857
Pr4 Pr 0.665 0.665 0.143
Pr5 Pr 0.683 0.683 0.555
Pr6 Pr 0.972 0.972 0.748
Ir1 Ir 0.171 0.171 0.345
Ir2 Ir 0.829 0.829 0.655
Pb1 Pb 0.500 0.500 0.000
I1 I 0.161 0.161 0.842
I2 I 0.500 0.500 0.500
I3 I 0.839 0.839 0.158
# **Total moment**: 0.00 μB/f.u.
# **E_form (uncorrected)**: -893.4 meV/atom
# **Electronic total energy**: -5.46 eV/atom
# **Symmetry**: C2/m